# AlSiPd3 PBE optimized geometry
data_AlSiPd3
_symmetry_space_group_name_H-M 'P 1'
_symmetry_Int_Tables_number 1
_symmetry_space_group_name_Hall 'P 1'
_cell_length_a 2.884
_cell_length_b 7.972
_cell_length_c 7.973
_cell_angle_alpha 59.87
_cell_angle_beta 90.00
_cell_angle_gamma 90.00
loop_
_atom_site_label
_atom_site_fract_x
_atom_site_fract_y
_atom_site_fract_z
Al1 0.363 0.694 0.746
Al2 0.863 0.194 0.247
Si1 0.363 0.694 0.246
Si2 0.363 0.194 0.747
Pd1 0.863 0.392 0.835
Pd2 0.863 0.996 0.658
Pd3 0.863 0.606 0.048
Pd4 0.363 0.040 0.093
Pd5 0.863 0.782 0.445
Pd6 0.363 0.348 0.401
# Raw total energy: -0.202 Ha/atom
# Magnetization: 0.00 μB/cell
# Crystal system: orthorhombic
# ΔE_f (raw): -557 meV per atom